MnZnB2: relaxed, PBE-GGA.

```
MnZnB2
1.0
-0.1923 -5.5446 1.2110
5.6327 -0.0383 0.7192
2.4149 -2.2524 3.3847
B Mn Zn
4 2 2
direct
0.1379 0.6250 0.2500
0.6121 0.1250 0.2500
0.8750 0.8621 0.7500
0.3750 0.3879 0.7500
0.2500 0.7500 0.5000
0.5000 0.5000 0.0000
0.0000 0.0000 0.0000
0.7500 0.2500 0.5000
```

The total magnetic moment comes out at 2.360 Bohr magnetons per cell. The calculation puts the density at 5854 kg/m3. The raw total energy comes out at -5.110 eV per atom. As for the formation energy: 3.36 eV/f.u.

=====

SrCd2Tc: relaxed, PBE-GGA.

```
SrCd2Tc
1.0
-3.3260 -2.5704 -3.6090
2.9724 -3.3512 -3.2603
-0.2324 0.5841 5.5045
Sr Tc Cd
1 1 2
direct
0.5000 0.5000 0.0000
0.7500 0.2500 0.5000
0.0000 0.0000 0.0000
0.2500 0.7500 0.5000
```

The total magnetic moment comes out at 1.101 Bohr magnetons per cell. The calculation puts the density at 7435 kg/m3. Its excess energy over the best structure of this formula in the dataset is 155 meV per atom. The raw total energy comes out at -2.976 eV per atom. As for the formation energy: 1.97 eV/f.u.